Entry 1:
# Al2GeH

A geometry-optimized Al2GeH structure (PBE-GGA, Alexandria via LeMat-Bulk).

Lattice parameters (Å, degrees): 7.0386 7.0386 7.0386 141.79 141.79 55.15
Fractional positions:
Al  0.0217  0.6250  0.8967
Al  0.3750  0.2717  0.3967
Al  0.7283  0.1250  0.1033
Al  0.8750  0.9783  0.6033
Ge  0.2500  0.7500  0.5000
Ge  0.5000  0.5000  0.0000
H  0.0000  0.0000  0.0000
H  0.7500  0.2500  0.5000

Properties
Polymorph energy (0 for the lowest one)   0.055 eV/atom
Space group   I-42d, No. 122

***

Entry 2:
# V2CuSiH

A geometry-optimized V2CuSiH structure (PBE-GGA, Alexandria via LeMat-Bulk).

Lattice parameters (Å, degrees): 3.6703 3.6703 3.9503 90.00 90.00 90.00
Fractional positions:
V  0.0000  0.5000  0.0000
V  0.5000  0.0000  0.0000
Cu  0.0000  0.0000  0.5000
Si  0.5000  0.5000  0.5000
H  0.0000  0.0000  0.0000

Properties
Space group   P4/mmm, No. 123

***

Entry 3:
# PbAuI4

A geometry-optimized PbAuI4 structure (PBE-GGA, Alexandria via LeMat-Bulk).

Lattice parameters (Å, degrees): 7.7183 4.6872 15.2523 90.00 114.11 90.00
Fractional positions:
Pb  0.0000  0.0000  0.0000
Pb  0.0000  0.5000  0.5000
Au  0.5000  0.0000  0.5000
Au  0.5000  0.5000  0.0000
I  0.2256  0.1686  0.8673
I  0.2256  0.3314  0.3673
I  0.3003  0.0009  0.6218
I  0.3003  0.4991  0.1218
I  0.6997  0.5009  0.8782
I  0.6997  0.9991  0.3782
I  0.7744  0.6686  0.6327
I  0.7744  0.8314  0.1327

Properties
Polymorph energy (0 for the lowest one)   0.000 eV/atom
ΔE_f (raw)   -0.29 eV/atom
Space group   P2_1/c, No. 14

***

Entry 4:
# In2MoCl

A geometry-optimized In2MoCl structure (PBE-GGA, Alexandria via LeMat-Bulk).

Lattice parameters (Å, degrees): 3.1192 5.2849 5.3716 90.00 90.00 90.00
Fractional positions:
In  0.0000  0.0000  0.0000
In  0.5000  0.0000  0.5000
Mo  0.0000  0.5000  0.5000
Cl  0.5000  0.5000  0.0000

Properties
Polymorph energy (0 for the lowest one)   0.443 eV/atom
ΔE_f (raw)   0.52 eV/atom
Space group   Pmmm, No. 47

***

Entry 5:
# CaScTa2

A geometry-optimized CaScTa2 structure (PBE-GGA, Alexandria via LeMat-Bulk).

Lattice parameters (Å, degrees): 3.9512 4.3067 5.0571 90.00 90.00 90.00
Fractional positions:
Ca  0.0000  0.0000  0.0000
Sc  0.5000  0.5000  0.0000
Ta  0.0000  0.5000  0.5000
Ta  0.5000  0.0000  0.5000

Properties
Formation energy   0.587 eV/atom
Polymorph energy (0 for the lowest one)   0.325 eV/atom
Space group   Pmmm, No. 47

***

Entry 6:
# Mn3W

A geometry-optimized Mn3W structure (PBE-GGA, Alexandria via LeMat-Bulk).

Lattice parameters (Å, degrees): 4.1007 4.1007 2.9961 90.00 90.00 90.00
Fractional positions:
Mn  0.0000  0.0000  0.0000
Mn  0.0000  0.5000  0.5000
Mn  0.5000  0.0000  0.5000
W  0.5000  0.5000  0.0000

Properties
Formation energy   0.077 eV/atom
Space group   P4/mmm, No. 123

***

Entry 7:
# Nd7Ir2Pd2

A geometry-optimized Nd7Ir2Pd2 structure (PBE-GGA, Alexandria via LeMat-Bulk).

Lattice parameters (Å, degrees): 6.8938 6.8938 7.1188 90.00 90.00 105.89
Fractional positions:
Nd  0.0000  0.0000  0.0000
Nd  0.0000  0.5000  0.2611
Nd  0.0000  0.5000  0.7389
Nd  0.5000  0.0000  0.2611
Nd  0.5000  0.0000  0.7389
Nd  0.5000  0.5000  0.2538
Nd  0.5000  0.5000  0.7462
Ir  0.2850  0.7150  0.0000
Ir  0.7150  0.2850  0.0000
Pd  0.2011  0.2011  0.5000
Pd  0.7989  0.7989  0.5000

Properties
Formation energy   -0.432 eV/atom
Space group   Cmmm, No. 65

***

Entry 8:
# CdNiS2

A geometry-optimized CdNiS2 structure (PBE-GGA, Alexandria via LeMat-Bulk).

Lattice parameters (Å, degrees): 7.4108 7.4108 7.4108 30.53 30.53 30.53
Fractional positions:
Cd  0.0000  0.0000  0.0000
Ni  0.5000  0.5000  0.5000
S  0.4021  0.4021  0.4021
S  0.5979  0.5979  0.5979

Properties
ΔE_f (raw)   0.02 eV/atom
Space group   R-3m, No. 166

***

Entry 9:
# AgGeB2

A geometry-optimized AgGeB2 structure (PBE-GGA, Alexandria via LeMat-Bulk).

Lattice parameters (Å, degrees): 5.9838 5.9838 5.9838 130.15 130.15 73.17
Fractional positions:
Ag  0.0000  0.0000  0.0000
Ag  0.7500  0.2500  0.5000
Ge  0.2500  0.7500  0.5000
Ge  0.5000  0.5000  0.0000
B  0.1507  0.6250  0.0257
B  0.3750  0.4007  0.5257
B  0.5993  0.1250  0.9743
B  0.8750  0.8493  0.4743

Properties
Formation energy   1.034 eV/atom
Space group   I-42d, No. 122

***

Entry 10:
# HoH4Pd3

A geometry-optimized HoH4Pd3 structure (PBE-GGA, Alexandria via LeMat-Bulk).

Lattice parameters (Å, degrees): 5.4705 5.4705 5.4705 90.00 90.00 90.00
Fractional positions:
Ho  0.0000  0.0000  0.0000
Ho  0.5000  0.5000  0.5000
H  0.2500  0.2500  0.2500
H  0.2500  0.2500  0.7500
H  0.2500  0.7500  0.2500
H  0.2500  0.7500  0.7500
H  0.7500  0.2500  0.2500
H  0.7500  0.2500  0.7500
H  0.7500  0.7500  0.2500
H  0.7500  0.7500  0.7500
Pd  0.0000  0.2500  0.5000
Pd  0.0000  0.7500  0.5000
Pd  0.2500  0.5000  0.0000
Pd  0.5000  0.0000  0.2500
Pd  0.5000  0.0000  0.7500
Pd  0.7500  0.5000  0.0000

Properties
Space group   Pm-3n, No. 223

***

Entry 11:
# Tb2BH

A geometry-optimized Tb2BH structure (PBE-GGA, Alexandria via LeMat-Bulk).

Lattice parameters (Å, degrees): 6.0261 6.0261 6.0261 37.07 37.07 37.07
Fractional positions:
Tb  0.2476  0.2476  0.2476
Tb  0.7524  0.7524  0.7524
B  0.5000  0.5000  0.5000
H  0.0000  0.0000  0.0000

Properties
Space group   R-3m, No. 166

***

Entry 12:
# RbCoSe2N

A geometry-optimized RbCoSe2N structure (PBE-GGA, Alexandria via LeMat-Bulk).

Lattice parameters (Å, degrees): 6.0399 6.0399 5.0852 90.00 90.00 90.00
Fractional positions:
Rb  0.0000  0.0000  0.0000
Co  0.5000  0.5000  0.5000
Se  0.0000  0.5000  0.0000
Se  0.5000  0.0000  0.0000
N  0.0000  0.0000  0.5000

Properties
Polymorph energy (0 for the lowest one)   1.982 eV/atom
ΔE_f (raw)   2.14 eV/atom
Space group   P4/mmm, No. 123

***

What are the electronic total energy values for these records? In order: -3.59; -6.39; -2.48; -4.01; -7.42; -10.04; -6.02; -3.72; -4.17; -4.60; -5.00; -2.54 eV/atom.